# Dy4InGaO, relaxed, DFT PBE
# Raw formation energy, kJ per mole of atoms: -108.7
# V, A^3/atom: 24.34
# Magnetic moment, μB per formula unit: 0.00
# VASP energy, eV per atom: -5.288
# Fermi-level density of states, states/eV/cell: 8.4
data_Dy4InGaO
_symmetry_space_group_name_H-M 'C m c m'
_symmetry_Int_Tables_number 63
_symmetry_space_group_name_Hall '-C 2c 2'
_cell_length_a 6.482
_cell_length_b 16.178
_cell_length_c 6.498
_cell_angle_alpha 90.00
_cell_angle_beta 90.00
_cell_angle_gamma 90.00
loop_
_atom_site_label
_atom_site_type_symbol
_atom_site_fract_x
_atom_site_fract_y
_atom_site_fract_z
_atom_site_occupancy
Dy1 Dy 0.000 0.067 0.250 1
Dy2 Dy 0.000 0.417 0.250 1
Dy3 Dy 0.250 0.250 0.000 1
In1 In 0.000 0.391 0.750 1
Ga1 Ga 0.000 0.118 0.750 1
O1 O 0.000 0.262 0.250 1